The following is a GGA-PBE calculation of an optimized crystal structure of NaCd2HgAu, from Alexandria via LeMat-Bulk.

Values from the calculation:
M_tot: 0.0 μB/cell
energy relative to the lowest polymorph listed for this composition: 0 meV/atom
formation enthalpy at 0 K: -0.15 eV/atom

Lattice parameters (Å, degrees): 4.1051 8.2983 8.2928 90.00 90.00 104.32
Fractional coordinates of all 10 atoms:
Cd  0.1768  0.3536  0.5610
Hg  0.0000  0.0000  0.0000
Na  0.3914  0.7827  0.7500
Cd  0.8232  0.6464  0.0610
Hg  0.0000  0.0000  0.5000
Au  0.7508  0.5015  0.7500
Au  0.2492  0.4985  0.2500
Cd  0.8232  0.6464  0.4390
Cd  0.1768  0.3536  0.9390
Na  0.6086  0.2173  0.2500

***

The following is a GGA-PBE calculation of an optimized crystal structure of Nd4CdHg2Au, from Alexandria via LeMat-Bulk.

Values from the calculation:
M_tot: 0.5 μB/cell
formation enthalpy at 0 K: -0.51 eV/atom

Lattice parameters (Å, degrees): 5.3874 5.3874 9.3231 73.21 73.21 60.00
Last column: magnetic moment on the atom in μB.
Fractional coordinates of all 8 atoms:
Nd  0.3809  0.3809  0.8574  0.05
Au  0.5000  0.5000  0.5000  0.01
Hg  0.7420  0.7420  0.7740  0.00
Nd  0.1294  0.1294  0.6118  0.10
Hg  0.2580  0.2580  0.2260  0.00
Nd  0.8706  0.8706  0.3882  0.10
Cd  0.0000  0.0000  0.0000  0.00
Nd  0.6191  0.6191  0.1426  0.05

***

The following is a GGA-PBE calculation of an optimized crystal structure of NdCdHgAu, from Alexandria via LeMat-Bulk.

Values from the calculation:
M_tot: 0.0 μB/cell
formation enthalpy at 0 K: -0.53 eV/atom

Lattice parameters (Å, degrees): 5.1003 5.1003 5.1003 60.00 60.00 60.00
Fractional coordinates of all 4 atoms:
Nd  0.2500  0.2500  0.2500
Cd  0.7500  0.7500  0.7500
Hg  0.5000  0.5000  0.5000
Au  0.0000  0.0000  0.0000

***

The following is a GGA-PBE calculation of an optimized crystal structure of Nd4Cd2HgAu, from Alexandria via LeMat-Bulk.

Values from the calculation:
M_tot: 1.0 μB/cell
formation enthalpy at 0 K: -0.45 eV/atom

Lattice parameters (Å, degrees): 5.3945 5.3945 9.3352 73.21 73.21 60.00
Last column: magnetic moment on the atom in μB.
Fractional coordinates of all 8 atoms:
Hg  0.0000  0.0000  0.0000  0.01
Cd  0.7462  0.7462  0.7615  0.00
Nd  0.1278  0.1278  0.6165  0.13
Nd  0.6215  0.6215  0.1355  0.11
Au  0.5000  0.5000  0.5000  0.02
Nd  0.8722  0.8722  0.3835  0.13
Cd  0.2538  0.2538  0.2385  0.00
Nd  0.3785  0.3785  0.8645  0.11

***

The following is a GGA-PBE calculation of an optimized crystal structure of CdNiHgAu, from Alexandria via LeMat-Bulk.

Values from the calculation:
M_tot: 0.0 μB/cell
formation enthalpy at 0 K: 0.11 eV/atom

Lattice parameters (Å, degrees): 4.6575 4.6575 4.6575 60.00 60.00 60.00
Fractional coordinates of all 4 atoms:
Cd  0.5000  0.5000  0.5000
Au  0.2500  0.2500  0.2500
Ni  0.7500  0.7500  0.7500
Hg  0.0000  0.0000  0.0000

***

The following is a GGA-PBE calculation of an optimized crystal structure of NpCdHgAu, from Alexandria via LeMat-Bulk.

Values from the calculation:
M_tot: 4.2 μB/cell
formation enthalpy at 0 K: -0.02 eV/atom

Lattice parameters (Å, degrees): 5.0691 5.0691 5.0691 60.00 60.00 60.00
Last column: magnetic moment on the atom in μB.
Fractional coordinates of all 4 atoms:
Hg  0.7500  0.7500  0.7500  0.02
Cd  0.0000  0.0000  0.0000  0.00
Au  0.2500  0.2500  0.2500  0.01
Np  0.5000  0.5000  0.5000  3.93

***

The following is a GGA-PBE calculation of an optimized crystal structure of Cd2HgAuO4, from Alexandria via LeMat-Bulk.

Values from the calculation:
M_tot: 0.7 μB/cell
formation energy (no corrections): -592.6 meV/atom

Lattice parameters (Å, degrees): 3.5389 8.2210 6.5868 46.70 74.42 77.57
Last column: magnetic moment on the atom in μB.
Fractional coordinates of all 8 atoms:
O  0.1576  0.9483  0.7365  0.19
Cd  0.7487  0.7508  0.7517  0.02
Au  0.0000  0.0000  0.0000  0.17
O  0.3384  0.5553  0.7678  0.05
O  0.8424  0.0517  0.2636  0.19
O  0.6616  0.4447  0.2322  0.05
Hg  0.5000  0.5000  0.5000  0.00
Cd  0.2513  0.2492  0.2483  0.02

***

The following is a GGA-PBE calculation of an optimized crystal structure of CdHgPbAu2, from Alexandria via LeMat-Bulk.

Values from the calculation:
M_tot: 0.0 μB/cell
formation enthalpy at 0 K: 0.43 eV/atom

Lattice parameters (Å, degrees): 5.3983 5.3983 5.8582 90.00 90.00 90.00
Fractional coordinates of all 5 atoms:
Cd  0.5000  0.5000  0.5000
Hg  0.0000  0.0000  0.5000
Au  0.0000  0.5000  0.0000
Pb  0.0000  0.0000  0.0000
Au  0.5000  0.0000  0.0000

***

The following is a GGA-PBE calculation of an optimized crystal structure of Cd2HgPd2Au2, from Alexandria via LeMat-Bulk.

Values from the calculation:
M_tot: 0.0 μB/cell
formation enthalpy at 0 K: -0.14 eV/atom

Lattice parameters (Å, degrees): 4.6919 4.6919 7.2662 71.16 71.16 60.00
Fractional coordinates of all 7 atoms:
Pd  0.7160  0.7160  0.8520
Au  0.4270  0.4270  0.7190
Cd  0.8578  0.8578  0.4266
Hg  0.0000  0.0000  0.0000
Pd  0.2840  0.2840  0.1480
Au  0.5730  0.5730  0.2810
Cd  0.1422  0.1422  0.5734

***

The following is a GGA-PBE calculation of an optimized crystal structure of Cd2HgPd5Au, from Alexandria via LeMat-Bulk.

Values from the calculation:
M_tot: 0.0 μB/cell
formation enthalpy at 0 K: 0.07 eV/atom

Lattice parameters (Å, degrees): 6.8268 6.8268 8.7896 112.85 112.85 90.00
Fractional coordinates of all 18 atoms:
Au  0.7500  0.2500  0.5000
Hg  0.2500  0.2500  0.5000
Au  0.2500  0.7500  0.5000
Pd  0.5000  0.5000  0.0000
Cd  0.3668  0.8668  0.0000
Pd  0.0763  0.5763  0.7019
Pd  0.6256  0.1256  0.7019
Pd  0.1256  0.0763  0.7019
Pd  0.4237  0.3744  0.2981
Pd  0.9237  0.4237  0.2981
Pd  0.0000  0.0000  0.0000
Hg  0.7500  0.7500  0.5000
Cd  0.8668  0.6332  0.0000
Cd  0.6332  0.1332  0.0000
Pd  0.5763  0.6256  0.7019
Pd  0.3744  0.8744  0.2981
Pd  0.8744  0.9237  0.2981
Cd  0.1332  0.3668  0.0000

***

The following is a GGA-PBE calculation of an optimized crystal structure of Cd2Hg2Pd5Au, from Alexandria via LeMat-Bulk.

Values from the calculation:
M_tot: 0.0 μB/cell
formation enthalpy at 0 K: -0.11 eV/atom

Lattice parameters (Å, degrees): 3.1694 11.0158 11.0158 90.00 90.00 90.00
Fractional coordinates of all 20 atoms:
Hg  0.0000  0.1458  0.3542
Cd  0.0000  0.6466  0.8534
Hg  0.0000  0.6458  0.1458
Pd  0.5000  0.3545  0.6440
Pd  0.5000  0.5000  0.0000
Cd  0.0000  0.8534  0.3534
Au  0.0000  0.0000  0.0000
Pd  0.5000  0.6440  0.6455
Pd  0.5000  0.0000  0.5000
Pd  0.5000  0.6455  0.3560
Cd  0.0000  0.1466  0.6466
Pd  0.5000  0.8545  0.8560
Pd  0.5000  0.3560  0.3545
Pd  0.5000  0.1455  0.1440
Hg  0.0000  0.8542  0.6458
Pd  0.5000  0.8560  0.1455
Au  0.0000  0.5000  0.5000
Hg  0.0000  0.3542  0.8542
Cd  0.0000  0.3534  0.1466
Pd  0.5000  0.1440  0.8545

***

The following is a GGA-PBE calculation of an optimized crystal structure of CdHgPd3Au, from Alexandria via LeMat-Bulk.

Values from the calculation:
M_tot: 0.0 μB/cell
formation enthalpy at 0 K: -0.15 eV/atom

Lattice parameters (Å, degrees): 4.8443 9.4934 4.9234 105.10 90.00 104.78
Fractional coordinates of all 12 atoms:
Pd  0.2073  0.4147  0.9200
Pd  0.1236  0.2472  0.3494
Au  0.0402  0.0803  0.7821
Pd  0.5424  0.0848  0.3052
Hg  0.7078  0.4156  0.5042
Pd  0.7927  0.5853  0.0800
Cd  0.6222  0.2443  0.9058
Au  0.9598  0.9197  0.2179
Hg  0.2922  0.5844  0.4958
Pd  0.8764  0.7528  0.6506
Pd  0.4576  0.9152  0.6948
Cd  0.3778  0.7557  0.0942

***

The following is a GGA-PBE calculation of an optimized crystal structure of Pm4CdHg2Au, from Alexandria via LeMat-Bulk.

Values from the calculation:
M_tot: 0.3 μB/cell
formation enthalpy at 0 K: -0.52 eV/atom

Lattice parameters (Å, degrees): 5.3519 5.3519 9.2551 73.19 73.19 60.00
Last column: magnetic moment on the atom in μB.
Fractional coordinates of all 8 atoms:
Pm  0.3809  0.3809  0.8574  0.03
Pm  0.1294  0.1294  0.6117  0.05
Hg  0.2581  0.2581  0.2257  0.00
Cd  0.0000  0.0000  0.0000  0.00
Pm  0.8706  0.8706  0.3883  0.05
Au  0.5000  0.5000  0.5000  0.00
Hg  0.7419  0.7419  0.7743  0.00
Pm  0.6191  0.6191  0.1426  0.03

***

The following is a GGA-PBE calculation of an optimized crystal structure of PmCdHgAu, from Alexandria via LeMat-Bulk.

Values from the calculation:
M_tot: 0.0 μB/cell
formation enthalpy at 0 K: -0.54 eV/atom

Lattice parameters (Å, degrees): 5.0770 5.0770 5.0770 60.00 60.00 60.00
Fractional coordinates of all 4 atoms:
Hg  0.5000  0.5000  0.5000
Cd  0.7500  0.7500  0.7500
Au  0.0000  0.0000  0.0000
Pm  0.2500  0.2500  0.2500

***

The following is a GGA-PBE calculation of an optimized crystal structure of Pm4CdHgAu2, from Alexandria via LeMat-Bulk.

Values from the calculation:
M_tot: 0.0 μB/cell
formation enthalpy at 0 K: -0.57 eV/atom

Lattice parameters (Å, degrees): 5.2766 5.2766 9.3035 73.53 73.53 60.00
Fractional coordinates of all 8 atoms:
Cd  0.0000  0.0000  0.0000
Pm  0.3773  0.3773  0.8682
Hg  0.5000  0.5000  0.5000
Pm  0.8742  0.8742  0.3773
Pm  0.1258  0.1258  0.6227
Au  0.7418  0.7418  0.7746
Au  0.2582  0.2582  0.2254
Pm  0.6227  0.6227  0.1318

***

The following is a GGA-PBE calculation of an optimized crystal structure of Pr4CdHgAu2, from Alexandria via LeMat-Bulk.

Values from the calculation:
M_tot: 0.5 μB/cell
formation enthalpy at 0 K: -0.55 eV/atom

Lattice parameters (Å, degrees): 5.3614 5.3614 9.4021 73.43 73.43 60.00
Last column: magnetic moment on the atom in μB.
Fractional coordinates of all 8 atoms:
Pr  0.1260  0.1260  0.6219  0.08
Au  0.7427  0.7427  0.7720  0.01
Pr  0.6229  0.6229  0.1313  0.04
Pr  0.8740  0.8740  0.3781  0.08
Hg  0.5000  0.5000  0.5000  0.00
Au  0.2573  0.2573  0.2280  0.01
Pr  0.3771  0.3771  0.8687  0.04
Cd  0.0000  0.0000  0.0000  0.00

***

The following is a GGA-PBE calculation of an optimized crystal structure of CdHgPtAu, from Alexandria via LeMat-Bulk.

Values from the calculation:
M_tot: 0.0 μB/cell
formation enthalpy at 0 K: -0.05 eV/atom

Lattice parameters (Å, degrees): 4.7434 4.7434 4.7434 60.00 60.00 60.00
Fractional coordinates of all 4 atoms:
Au  0.2500  0.2500  0.2500
Pt  0.7500  0.7500  0.7500
Cd  0.5000  0.5000  0.5000
Hg  0.0000  0.0000  0.0000

***

The following is a GGA-PBE calculation of an optimized crystal structure of PuCdHgAu, from Alexandria via LeMat-Bulk.

Values from the calculation:
M_tot: 5.7 μB/cell
energy relative to the lowest polymorph listed for this composition: 0 meV/atom
formation enthalpy at 0 K: -0.24 eV/atom

Lattice parameters (Å, degrees): 5.0921 5.0921 5.0921 60.00 60.00 60.00
Last column: magnetic moment on the atom in μB.
Fractional coordinates of all 4 atoms:
Pu  0.2500  0.2500  0.2500  5.35
Cd  0.7500  0.7500  0.7500  0.01
Au  0.5000  0.5000  0.5000  0.02
Hg  0.0000  0.0000  0.0000  0.03

***

The following is a GGA-PBE calculation of an optimized crystal structure of PuCd4HgAu2, from Alexandria via LeMat-Bulk.

Values from the calculation:
M_tot: 5.9 μB/cell
formation enthalpy at 0 K: -0.14 eV/atom

Lattice parameters (Å, degrees): 4.3161 4.3161 10.4646 90.00 90.00 90.00
Last column: magnetic moment on the atom in μB.
Fractional coordinates of all 8 atoms:
Cd  0.0000  0.5000  0.8057  0.00
Cd  0.0000  0.5000  0.1943  0.00
Au  0.5000  0.5000  0.6282  0.01
Cd  0.5000  0.0000  0.8057  0.00
Au  0.5000  0.5000  0.3718  0.01
Hg  0.0000  0.0000  0.0000  0.01
Cd  0.5000  0.0000  0.1943  0.00
Pu  0.0000  0.0000  0.5000  5.49

***

The following is a GGA-PBE calculation of an optimized crystal structure of PuCdHgAu, from Alexandria via LeMat-Bulk.

Values from the calculation:
M_tot: 5.6 μB/cell
energy relative to the lowest polymorph listed for this composition: 104 meV/atom
formation enthalpy at 0 K: -0.13 eV/atom

Lattice parameters (Å, degrees): 5.0879 5.0879 5.0879 60.00 60.00 60.00
Last column: magnetic moment on the atom in μB.
Fractional coordinates of all 4 atoms:
Cd  0.5000  0.5000  0.5000  0.03
Pu  0.2500  0.2500  0.2500  5.37
Hg  0.7500  0.7500  0.7500  0.00
Au  0.0000  0.0000  0.0000  0.00